{"formula": "Gd2PuCo", "functional": "PBE", "state": "relaxed", "cell": [[-1.508, -2.091, 2.215], [-1.061, -1.956, -2.569], [7.237, -4.642, 0.546]], "species": ["Gd", "Gd", "Co", "Pu"], "frac_coords": [[0.000, 0.000, 0.809], [0.000, 0.000, 0.191], [0.500, 0.500, 0.000], [0.500, 0.500, 0.500]], "space_group": "P4/mmm (123)", "dos_at_fermi_per_ev_fu": 7.6, "total_magnetization_mub_per_cell": 21.7, "delta_e_f_mev_per_atom": 37, "e_above_lowest_polymorph_ev_per_atom": 0.0000}